## SbRu3Pb (PBE)

Data for SbRu3Pb after structural relaxation.

Cell: 4.8815 4.8815 4.8815 Å, 90.00 90.00 90.00°
With the nearest neighbours (Å) after each atom.
Fractional coordinates of all 5 atoms:
1 Sb 0.0000 0.0000 0.0000  6 Ru 2.44
2 Ru 0.0000 0.0000 0.5000  2 Sb 2.44
3 Ru 0.0000 0.5000 0.0000  2 Sb 2.44
4 Ru 0.5000 0.0000 0.0000  2 Sb 2.44
5 Pb 0.5000 0.5000 0.5000  12 Ru 3.45

* SG: No. 221
* final energy: -29.0 eV per formula unit

## K2HgPbAu (PBE)

Data for K2HgPbAu after structural relaxation.

Cell: 6.4118 6.4118 5.4432 Å, 90.00 90.00 90.00°
With the nearest neighbours (Å) after each atom.
Fractional coordinates of all 5 atoms:
1 K 0.0000 0.5000 0.0000  2 Au 3.21
2 K 0.5000 0.0000 0.0000  2 Au 3.21
3 Hg 0.0000 0.0000 0.5000  8 K 4.21, 4 Pb 4.53
4 Pb 0.5000 0.5000 0.5000  2 Au 2.72
5 Au 0.5000 0.5000 0.0000  2 Pb 2.72

* ΔH_f (0 K): -0.46 eV/f.u.
* SG: No. 123

## NpCd5SnHg4 (PBE)

Data for NpCd5SnHg4 after structural relaxation.

Cell: 5.4273 5.4273 9.9015 Å, 90.00 90.00 90.00°
With the nearest neighbours (Å) after each atom.
Fractional coordinates of all 11 atoms:
1 Np 0.0000 0.0000 0.0000  2 Hg 3.22, 8 Cd 3.30
2 Cd 0.0000 0.5000 0.1896  3 Hg 3.03-3.07, 2 Sn 3.30, 2 Np 3.30
3 Cd 0.0000 0.5000 0.8104  3 Hg 3.03-3.07, 2 Sn 3.30, 2 Np 3.30
4 Cd 0.5000 0.0000 0.1896  3 Hg 3.03-3.07, 2 Sn 3.30, 2 Np 3.30
5 Cd 0.5000 0.0000 0.8104  3 Hg 3.03-3.07, 2 Sn 3.30, 2 Np 3.30
6 Cd 0.5000 0.5000 0.5000  4 Hg 2.71
7 Sn 0.5000 0.5000 0.0000  8 Cd 3.30
8 Hg 0.0000 0.0000 0.3257  4 Cd 3.03, 4 Hg 3.22, 1 Np 3.22
9 Hg 0.0000 0.0000 0.6743  4 Cd 3.03, 4 Hg 3.22, 1 Np 3.22
10 Hg 0.0000 0.5000 0.5000  2 Cd 2.71
11 Hg 0.5000 0.0000 0.5000  2 Cd 2.71

* ΔH_f (0 K): 1.60 eV/f.u.
* SG: No. 123

## CsAc2Be2O6 (PBE)

Data for CsAc2Be2O6 after structural relaxation.

Cell: 6.4635 6.4635 6.7314 Å, 113.87 113.87 62.53°
With the nearest neighbours (Å) after each atom.
Fractional coordinates of all 11 atoms:
1 Cs 0.0000 0.0000 0.0000  4 O 3.23, 2 Be 3.39
2 Ac 0.3219 0.3219 0.6995  6 O 2.43-2.64
3 Ac 0.6781 0.6781 0.3005  6 O 2.43-2.64
4 Be 0.3477 0.3477 0.2590  3 O 1.53-1.56
5 Be 0.6523 0.6523 0.7410  3 O 1.53-1.56
6 O 0.1106 0.4838 0.3370  1 Be 1.56
7 O 0.4285 0.4285 0.1269  1 Be 1.53
8 O 0.4838 0.1106 0.3370  1 Be 1.56
9 O 0.5162 0.8894 0.6630  1 Be 1.56
10 O 0.5715 0.5715 0.8731  1 Be 1.53
11 O 0.8894 0.5162 0.6630  1 Be 1.56

* SG: No. 12
* final energy: -74.1 eV per formula unit

| no. | DOS(E_F) (states/eV per atom) |
| --- | --- |
| 1 | 2.19 |
| 2 | 0.76 |
| 3 | 1.18 |
| 4 | 0.47 |